Compound: Ag4PbF8
Source: the Alexandria database
Functional: PBE-GGA
Structure: optimized geometry

```
Ag4PbF8
1.0
-6.6934 0.6362 -0.2522
1.9364 -4.4620 -4.6488
2.3611 -2.1374 5.6292
Ag F Pb
4 8 1
direct
0.2105 0.2105 0.0000
0.4985 0.1992 0.6977
0.7895 0.7895 0.0000
0.5015 0.8008 0.3023
0.2450 0.0018 0.2468
0.7550 0.9982 0.7532
0.6854 0.4639 0.1494
0.8166 0.1075 0.3188
0.7887 0.4977 0.6812
0.3146 0.5361 0.8506
0.2113 0.5023 0.3188
0.1834 0.8925 0.6812
0.0000 0.5000 0.5000
```

Calculated values
For the total magnetization, the calculation gives 0.0 μB/f.u. The density of states at the Fermi level comes out at 0.478 states/eV per atom. The total energy comes out at -0.2705 Ry per atom. The calculation puts the uncorrected formation energy at -17.77 eV/f.u. As for the space group: No. 12.